Here is K8Bi2Te after structural relaxation from Alexandria. Energies are from PBE-GGA.

Properties
- SG = Immm (71)
- volume (Å³/cell) = 471.86
- formation energy without anion corrections (meV/atom) = -534

```
K8Bi2Te
1.0
-3.039 4.226 9.187
3.039 -4.226 9.187
3.039 4.226 -9.187
K Bi Te
8 2 1
direct
0.114 0.351 0.763
0.187 0.187 0.000
0.273 0.000 0.273
0.412 0.649 0.763
0.588 0.351 0.237
0.727 0.000 0.727
0.813 0.813 0.000
0.886 0.649 0.237
0.321 0.821 0.500
0.679 0.179 0.500
0.000 0.500 0.500
```